# 1
Entry from Alexandria: a geometry-optimized CrBrCl2 structure (PBE).

a b c (Å): 7.2591 7.2591 9.1638
angles (deg): 90.00 90.00 90.00
Space group I-42d (No. 122)
Unique sites:
1 Cr 0.0000 0.0000 0.0000
2 Br 0.0000 0.0000 0.5000
3 Cl 0.1111 0.2500 0.1250

Excess energy over the best structure of this formula in the dataset (meV/atom): 512
E_form (uncorrected) (eV/f.u.): -1.5
Fermi-level density of states (states/eV/f.u.): 6.3

# 2
Entry from Alexandria: a geometry-optimized Cr2BrCl structure (PBE).

a b c (Å): 3.6275 6.8404 7.8244
angles (deg): 90.00 90.00 90.00
Space group Cmmm (No. 65)
Unique sites:
1 Cr 0.0000 0.0000 0.2405
2 Br 0.0000 0.5000 0.5000
3 Cl 0.0000 0.5000 0.0000

Excess energy over the best structure of this formula in the dataset (meV/atom): 331
E_form (uncorrected) (eV/f.u.): 0.6
Fermi-level density of states (states/eV/f.u.): 1.2

# 3
Entry from Alexandria: a geometry-optimized Cr2BrCl structure (PBE).

a b c (Å): 4.1413 3.8097 5.6874
angles (deg): 90.00 97.17 90.00
Space group P2/m (No. 10)
Unique sites:
1 Cr 0.0000 0.0000 0.0000
2 Cr 0.5000 0.5000 0.5000
3 Br 0.0000 0.0000 0.5000
4 Cl 0.5000 0.5000 0.0000

Excess energy over the best structure of this formula in the dataset (meV/atom): 321
E_form (uncorrected) (eV/f.u.): 0.6
Fermi-level density of states (states/eV/f.u.): 1.3

# 4
Entry from Alexandria: a geometry-optimized Cr2BrCl structure (PBE).

a b c (Å): 3.6092 5.8356 9.2287
angles (deg): 90.00 90.00 90.00
Space group Cmm2 (No. 35)
Unique sites:
1 Cr 0.0000 0.0000 0.0000
2 Cr 0.0000 0.5000 0.2558
3 Br 0.0000 0.0000 0.4427
4 Cl 0.0000 0.5000 0.8337

Excess energy over the best structure of this formula in the dataset (meV/atom): 301
E_form (uncorrected) (eV/f.u.): 0.5
Fermi-level density of states (states/eV/f.u.): 4.2